(1)
VASP calculation (PBE+U) on a relaxed structure of TlCrO2.

## Properties
* total moment: 2.83 μB/f.u.
* polymorph energy (0 for the lowest one): 0.8 meV/atom
* DFT total energy: -6.292 eV/atom

abc: 3.1027 3.1027 20.7573
angles: 90.00 90.00 120.00
Space group R-3m (No. 166, hexagonal axes)
Inequivalent atoms, fractional coordinates:
Tl 0.0000 0.0000 0.0000
Cr 0.0000 0.0000 0.5000
O 0.0000 0.0000 0.1194



(2)
VASP calculation (PBE+U) on a relaxed structure of TlCrO2.

## Properties
* total moment: 3.00 μB/f.u.
* polymorph energy (0 for the lowest one): 0.0 meV/atom
* DFT total energy: -6.292 eV/atom

abc: 3.1372 3.1372 19.3136
angles: 90.00 90.00 120.00
Space group R3m (No. 160, hexagonal axes)
Inequivalent atoms, fractional coordinates:
Tl 0.0000 0.0000 0.0000
Cr 0.0000 0.0000 0.1691
O 0.0000 0.0000 0.5550
O 0.0000 0.0000 0.7843



(3)
VASP calculation (PBE+U) on a relaxed structure of Tl2CrO4.

## Properties
* total moment: 0.00 μB/f.u.
* polymorph energy (0 for the lowest one): 16.8 meV/atom
* DFT total energy: -5.702 eV/atom

abc: 6.655 6.073 8.468
angles: 90.00 110.76 90.00
Space group P2_1/m (No. 11)
Inequivalent atoms, fractional coordinates:
Tl 0.209 0.250 0.139
Tl 0.224 0.750 0.456
Cr 0.335 0.250 0.695
O 0.156 0.250 0.497
O 0.196 0.250 0.825
O 0.487 0.024 0.720



(4)
VASP calculation (PBE+U) on a relaxed structure of TlCr2O2.

## Properties
* total moment: 7.29 μB/f.u.
* polymorph energy (0 for the lowest one): 0.0 meV/atom
* DFT total energy: -6.536 eV/atom

abc: 3.983 3.983 11.771
angles: 90.00 90.00 90.00
Space group I4/mmm (No. 139)
Inequivalent atoms, fractional coordinates:
Tl 0.000 0.000 0.000
Cr 0.000 0.000 0.290
O 0.000 0.500 0.250



(5)
VASP calculation (PBE+U) on a relaxed structure of Tl2CrO4.

## Properties
* total moment: 0.00 μB/f.u.
* polymorph energy (0 for the lowest one): 2.0 meV/atom
* DFT total energy: -5.717 eV/atom

abc: 8.089 5.940 11.311
angles: 90.00 90.00 90.00
Space group Pnma (No. 62)
Inequivalent atoms, fractional coordinates:
Tl 0.005 0.250 0.217
Tl 0.182 0.750 0.430
Cr 0.211 0.750 0.075
O 0.008 0.750 0.097
O 0.207 0.017 0.634
O 0.247 0.250 0.430



(6)
VASP calculation (PBE+U) on a relaxed structure of Tm2Tl2CrO6.

## Properties
* total moment: 1.99 μB/f.u.
* DFT total energy: -6.784 eV/atom

abc: 5.704 9.727 6.767
angles: 90.00 105.30 90.00
Space group C2/m (No. 12)
Inequivalent atoms, fractional coordinates:
Tm 0.000 0.165 0.000
Tl 0.000 0.335 0.500
Cr 0.000 0.500 0.000
O 0.198 0.350 0.157
O 0.249 0.000 0.169



(7)
VASP calculation (PBE+U) on a relaxed structure of UTlCrO6.

## Properties
* total moment: 0.99 μB/f.u.
* DFT total energy: -7.587 eV/atom

abc: 7.021 7.875 10.605
angles: 90.00 90.00 90.00
Space group Imma (No. 74)
Inequivalent atoms, fractional coordinates:
U 0.000 0.000 0.000
Tl 0.000 0.250 0.348
Cr 0.250 0.250 0.750
O 0.000 0.250 0.085
O 0.000 0.250 0.708
O 0.201 0.074 0.873



(8)
VASP calculation (PBE+U) on a relaxed structure of U2TlCrO8.

## Properties
* total moment: 3.12 μB/f.u.
* DFT total energy: -8.407 eV/atom

abc: 6.870 7.216 7.072
angles: 90.00 90.00 90.00
Space group Cmmm (No. 65)
Inequivalent atoms, fractional coordinates:
U 0.000 0.000 0.242
Tl 0.000 0.500 0.500
Cr 0.000 0.500 0.000
O 0.000 0.165 0.500
O 0.000 0.197 0.000
O 0.212 0.500 0.201



(9)
VASP calculation (PBE+U) on a relaxed structure of UTlCr2O8.

## Properties
* total moment: 3.00 μB/f.u.
* DFT total energy: -7.511 eV/atom

abc: 5.8003 5.8003 7.8786
angles: 90.00 90.00 120.00
Space group P-3m1 (No. 164)
Inequivalent atoms, fractional coordinates:
U 0.0000 0.0000 0.0000
Tl 0.0000 0.0000 0.5000
Cr 0.3333 0.6667 0.7574
O 0.1668 0.3336 0.8428
O 0.3333 0.6667 0.5497



(10)
VASP calculation (PBE+U) on a relaxed structure of U3Tl2CrO12.

## Properties
* total moment: 1.97 μB/f.u.
* DFT total energy: -8.298 eV/atom

abc: 7.9157 7.9157 17.7942
angles: 90.00 90.00 120.00
Space group R-3m (No. 166, hexagonal axes)
Inequivalent atoms, fractional coordinates:
U 0.0000 0.5000 0.0000
Tl 0.0000 0.0000 0.1537
Cr 0.0000 0.0000 0.5000
O 0.0854 0.5427 0.3656
O 0.0997 0.5498 0.1057



(11)
VASP calculation (PBE+U) on a relaxed structure of TlVCrO4.

## Properties
* total moment: 4.00 μB/f.u.
* DFT total energy: -6.835 eV/atom

abc: 5.414 5.743 7.772
angles: 90.00 97.68 90.00
Space group P2_1/m (No. 11)
Inequivalent atoms, fractional coordinates:
Tl 0.151 0.250 0.142
V 0.331 0.250 0.653
Cr 0.206 0.750 0.462
O 0.135 0.010 0.670
O 0.370 0.750 0.229
O 0.418 0.250 0.443



(12)
VASP calculation (PBE+U) on a relaxed structure of TlVCr2O8.

## Properties
* total moment: 2.00 μB/f.u.
* DFT total energy: -6.758 eV/atom

abc: 9.044 5.560 7.984
angles: 90.00 93.31 90.00
Space group C2/m (No. 12)
Inequivalent atoms, fractional coordinates:
Tl 0.000 0.000 0.000
V 0.000 0.000 0.500
Cr 0.134 0.500 0.296
O 0.031 0.249 0.325
O 0.184 0.500 0.104
O 0.219 0.000 0.570